# 1
TiHIr2Ru: relaxed, PBE.

Calculated values
E   -40.33 eV per formula unit
SG   P4/mmm

Geometry as CIF:
```
data_TiHIr2Ru
_cell_length_a 3.912
_cell_length_b 3.912
_cell_length_c 3.940
_cell_angle_alpha 90.00
_cell_angle_beta 90.00
_cell_angle_gamma 90.00
_symmetry_space_group_name_H-M 'P 1'
_symmetry_Int_Tables_number 1
loop_
_symmetry_equiv_pos_as_xyz
'x,y,z'
loop_
_atom_site_label
_atom_site_fract_x
_atom_site_fract_y
_atom_site_fract_z
Ru1 0.000 0.000 0.500
Ir1 0.000 0.500 0.000
Ir2 0.500 0.000 0.000
H1 0.000 0.000 0.000
Ti1 0.500 0.500 0.500
```


# 2
VHIrRu2: relaxed, PBE.

Calculated values
E   -40.69 eV per formula unit
SG   P4/mmm

Geometry as CIF:
```
data_VHIrRu2
_cell_length_a 3.875
_cell_length_b 3.875
_cell_length_c 3.862
_cell_angle_alpha 90.00
_cell_angle_beta 90.00
_cell_angle_gamma 90.00
_symmetry_space_group_name_H-M 'P 1'
_symmetry_Int_Tables_number 1
loop_
_symmetry_equiv_pos_as_xyz
'x,y,z'
loop_
_atom_site_label
_atom_site_fract_x
_atom_site_fract_y
_atom_site_fract_z
Ru1 0.000 0.500 0.000
Ru2 0.500 0.000 0.000
Ir1 0.000 0.000 0.500
H1 0.000 0.000 0.000
V1 0.500 0.500 0.500
```


| no. | energy above the lowest structure with this stoichiometry (meV/atom) |
| --- | --- |
| 1 | 0.0 |
| 2 | 43.5 |